No. 1
Sm6HgPd3 after structural relaxation. Source: Alexandria, functional GGA-PBE.

## Properties
size of the total moment = 0.00 μB/cell
ΔH_f (0 K) = -0.575 eV/atom
total energy = -199.78 eV for the cell shown
ρ = 9.0 Mg/m³

Unit cell a=11.248 b=11.948 c=7.849 alpha=90.00 beta=90.00 gamma=90.00
Space group Cmcm (No. 63)
Symmetry-distinct sites (fractional):
1 Sm 0.000 0.158 0.002 (multiplicity 8)
2 Sm 0.176 0.500 0.000 (multiplicity 8)
3 Sm 0.241 0.256 0.250 (multiplicity 8)
4 Hg 0.000 0.368 0.750 (multiplicity 4)
5 Pd 0.000 0.378 0.250 (multiplicity 4)
6 Pd 0.126 0.000 0.250 (multiplicity 8)

---

No. 2
Sm3Hg4Pd4 after structural relaxation. Source: Alexandria, functional GGA-PBE.

## Properties
size of the total moment = 0.00 μB/cell
ΔH_f (0 K) = -0.559 eV/atom
total energy = -84.58 eV for the cell shown
ρ = 11.2 Mg/m³

Unit cell a=4.046 b=7.994 c=15.463 alpha=90.00 beta=90.00 gamma=90.00
Space group Immm (No. 71)
Symmetry-distinct sites (fractional):
1 Sm 0.000 0.000 0.000 (multiplicity 2)
2 Sm 0.000 0.500 0.121 (multiplicity 4)
3 Hg 0.000 0.307 0.336 (multiplicity 8)
4 Pd 0.000 0.000 0.237 (multiplicity 4)
5 Pd 0.000 0.181 0.500 (multiplicity 4)

---

No. 3
SmHgPd after structural relaxation. Source: Alexandria, functional GGA-PBE.

## Properties
size of the total moment = 0.00 μB/cell
ΔH_f (0 K) = -0.577 eV/atom
total energy = -47.78 eV for the cell shown
ρ = 9.9 Mg/m³

Unit cell a=6.745 b=6.745 c=6.745 alpha=90.00 beta=90.00 gamma=90.00
Space group F-43m (No. 216)
Symmetry-distinct sites (fractional):
1 Sm 0.000 0.000 0.000 (multiplicity 4)
2 Hg 0.000 0.000 0.500 (multiplicity 4)
3 Pd 0.250 0.250 0.750 (multiplicity 4)

---

No. 4
Sm3Hg2Pd3 after structural relaxation. Source: Alexandria, functional GGA-PBE.

## Properties
size of the total moment = 0.00 μB/cell
ΔH_f (0 K) = -0.615 eV/atom
total energy = -70.52 eV for the cell shown
ρ = 10.2 Mg/m³

Unit cell a=8.6215 b=8.6215 c=5.9343 alpha=90.00 beta=90.00 gamma=120.00
Space group P6_3/mcm (No. 193)
Symmetry-distinct sites (fractional):
1 Sm 0.0000 0.2856 0.2500 (multiplicity 6)
2 Hg 0.3333 0.6667 0.0000 (multiplicity 4)
3 Pd 0.0000 0.3750 0.7500 (multiplicity 6)

---

No. 5
SmHgPd after structural relaxation. Source: Alexandria, functional GGA-PBE.

## Properties
size of the total moment = 0.00 μB/cell
ΔH_f (0 K) = -0.680 eV/atom
total energy = -73.52 eV for the cell shown
ρ = 11.1 Mg/m³

Unit cell a=13.544 b=3.858 c=7.879 alpha=90.00 beta=90.00 gamma=90.00
Space group Pmma (No. 51)
Symmetry-distinct sites (fractional):
1 Sm 0.050 0.000 0.239 (multiplicity 4)
2 Sm 0.250 0.000 0.830 (multiplicity 2)
3 Hg 0.110 0.500 0.571 (multiplicity 4)
4 Hg 0.250 0.500 0.181 (multiplicity 2)
5 Pd 0.094 0.500 0.937 (multiplicity 4)
6 Pd 0.250 0.000 0.446 (multiplicity 2)

---

No. 6
Sm4HgPd12 after structural relaxation. Source: Alexandria, functional GGA-PBE.

## Properties
size of the total moment = 0.00 μB/cell
ΔH_f (0 K) = -0.736 eV/atom
total energy = -188.02 eV for the cell shown
ρ = 10.7 Mg/m³

Unit cell a=8.652 b=8.652 c=8.652 alpha=90.00 beta=90.00 gamma=90.00
Space group Im-3m (No. 229)
Symmetry-distinct sites (fractional):
1 Sm 0.250 0.250 0.250 (multiplicity 8)
2 Hg 0.000 0.000 0.000 (multiplicity 2)
3 Pd 0.000 0.000 0.306 (multiplicity 12)
4 Pd 0.000 0.250 0.500 (multiplicity 12)

---

No. 7
Sm2Hg2Pd5 after structural relaxation. Source: Alexandria, functional GGA-PBE.

## Properties
size of the total moment = 0.00 μB/cell
ΔH_f (0 K) = -0.497 eV/atom
total energy = -161.93 eV for the cell shown
ρ = 10.8 Mg/m³

Unit cell a=18.190 b=4.773 c=8.735 alpha=90.00 beta=90.00 gamma=90.00
Space group Ima2 (No. 46)
Symmetry-distinct sites (fractional):
1 Sm 0.132 0.249 0.000 (multiplicity 8)
2 Hg 0.000 0.000 0.250 (multiplicity 4)
3 Hg 0.250 0.749 0.001 (multiplicity 4)
4 Pd 0.050 0.749 0.001 (multiplicity 8)
5 Pd 0.150 0.740 0.751 (multiplicity 8)
6 Pd 0.250 0.235 0.750 (multiplicity 4)

---

No. 8
Sm2HgPd6 after structural relaxation. Source: Alexandria, functional GGA-PBE.

## Properties
size of the total moment = 0.00 μB/cell
ΔH_f (0 K) = -0.612 eV/atom
total energy = -46.40 eV for the cell shown
ρ = 10.6 Mg/m³

Unit cell a=5.7918 b=5.7918 c=6.1271 alpha=90.00 beta=90.00 gamma=120.00
Space group P-3m1 (No. 164)
Symmetry-distinct sites (fractional):
1 Sm 0.3333 0.6667 0.3129 (multiplicity 2)
2 Hg 0.0000 0.0000 0.5000 (multiplicity 1)
3 Pd 0.1770 0.3539 0.8270 (multiplicity 6)

---

No. 9
Sm2HgPd3 after structural relaxation. Source: Alexandria, functional GGA-PBE.

## Properties
size of the total moment = 0.00 μB/cell
ΔH_f (0 K) = -0.733 eV/atom
total energy = -118.86 eV for the cell shown
ρ = 10.5 Mg/m³

Unit cell a=7.545 b=3.890 c=17.755 alpha=90.00 beta=90.00 gamma=90.00
Space group Pnma (No. 62)
Symmetry-distinct sites (fractional):
1 Sm 0.104 0.250 0.210 (multiplicity 4)
2 Sm 0.162 0.250 0.429 (multiplicity 4)
3 Hg 0.015 0.750 0.066 (multiplicity 4)
4 Pd 0.077 0.250 0.658 (multiplicity 4)
5 Pd 0.207 0.250 0.808 (multiplicity 4)
6 Pd 0.216 0.750 0.556 (multiplicity 4)

---

No. 10
Sm12HgPd6 after structural relaxation. Source: Alexandria, functional GGA-PBE.

## Properties
size of the total moment = 0.00 μB/cell
ΔH_f (0 K) = -0.552 eV/atom
total energy = -197.15 eV for the cell shown
ρ = 8.4 Mg/m³

Unit cell a=10.155 b=10.155 c=10.155 alpha=90.00 beta=90.00 gamma=90.00
Space group Im-3 (No. 204)
Symmetry-distinct sites (fractional):
1 Sm 0.000 0.297 0.183 (multiplicity 24)
2 Hg 0.000 0.000 0.000 (multiplicity 2)
3 Pd 0.000 0.135 0.500 (multiplicity 12)

---

No. 11
SmHgPd6 after structural relaxation. Source: Alexandria, functional GGA-PBE.

## Properties
size of the total moment = 0.00 μB/cell
ΔH_f (0 K) = -0.182 eV/atom
total energy = -75.26 eV for the cell shown
ρ = 10.3 Mg/m³

Unit cell a=8.605 b=5.355 c=7.207 alpha=90.00 beta=106.07 gamma=90.00
Space group C2/m (No. 12)
Symmetry-distinct sites (fractional):
1 Sm 0.000 0.000 0.000 (multiplicity 2)
2 Hg 0.000 0.500 0.500 (multiplicity 2)
3 Pd 0.144 0.000 0.445 (multiplicity 4)
4 Pd 0.207 0.244 0.801 (multiplicity 8)

---

No. 12
Sm2HgPd3 after structural relaxation. Source: Alexandria, functional GGA-PBE.

## Properties
size of the total moment = 0.00 μB/cell
ΔH_f (0 K) = -0.594 eV/atom
total energy = -115.52 eV for the cell shown
ρ = 9.7 Mg/m³

Unit cell a=13.129 b=8.156 c=5.270 alpha=90.00 beta=90.00 gamma=90.00
Space group Cmc2_1 (No. 36)
Symmetry-distinct sites (fractional):
1 Sm 0.142 0.186 0.000 (multiplicity 8)
2 Hg 0.000 0.406 0.504 (multiplicity 4)
3 Pd 0.000 0.072 0.490 (multiplicity 4)
4 Pd 0.193 0.500 0.252 (multiplicity 8)